1.
PuPdAu2 | PBE | optimized geometry

Results
ρ in Mg/m³: 14.90
Formation energy in eV/atom: -0.42
M_tot in μB per atom: 1.354

a b c (Å): 4.3217 7.6321 5.4729
angles (deg): 90.00 113.19 90.00
Closest atoms and distances in Å follow each position.
Space group P2_1/m (No. 11)
One atom of each set of equivalent atoms:
Pu1 0.0686 0.2500 0.1365  3 Pd 2.94-3.01, 4 Au 3.25
Pd1 0.2229 0.7500 0.4476  6 Au 2.75-2.78, 3 Pu 2.94-3.01
Au1 0.3684 0.0565 0.7358  3 Pd 2.75-2.78, 2 Au 2.79-2.95

=====

2.
Pu2Pd4Au | PBE | optimized geometry

Results
ρ in Mg/m³: 13.04
Formation energy in eV/atom: -0.29
E above lowest polymorph in meV/atom: 131
M_tot in μB per atom: 1.566

a b c (Å): 10.9801 5.5442 9.2967
angles (deg): 90.00 90.00 90.00
Closest atoms and distances in Å follow each position.
Space group Cmce (No. 64)
One atom of each set of equivalent atoms:
Pu1 0.1448 0.0000 0.0000  8 Pd 2.94-3.14, 1 Pu 3.18, 2 Au 3.20
Pd1 0.0000 0.2486 0.2496  2 Au 2.70-2.71, 4 Pd 2.75-2.77
Pd2 0.2500 0.2490 0.7500  4 Pd 2.75-2.77, 4 Pu 2.94
Au1 0.0000 0.0000 0.5000  4 Pd 2.70-2.71

=====

3.
Pu2Pd2Au | PBE | optimized geometry

Results
ρ in Mg/m³: 13.61
Formation energy in eV/atom: -0.47
M_tot in μB per atom: 2.224

a b c (Å): 7.4579 7.4579 3.9385
angles (deg): 90.00 90.00 90.00
Closest atoms and distances in Å follow each position.
Space group P4/mbm (No. 127)
One atom of each set of equivalent atoms:
Pu1 0.1733 0.3267 0.0000  6 Pd 2.85-3.02
Pd1 0.1312 0.6312 0.5000  1 Pd 2.77, 6 Pu 2.85-3.02, 2 Au 2.92
Au1 0.0000 0.0000 0.5000  4 Pd 2.92

=====

Uncorrected energy (eV per atom)
-6.943; -7.824; -8.933